Entry 1:
VASP calculation (PBE) on TbGdDy2 after structural relaxation.

DOS(E_F): 1.4752 states/eV per atom

Cell lengths 3.557, 3.557, 11.780 Å; angles 81.32, 81.32, 60.00 degrees
Each line ends with the local moment (μB).
Atoms (fractional coordinates):
1 Dy 0.750 0.750 0.751  0.03
2 Dy 0.250 0.250 0.249  0.03
3 Tb 0.000 0.000 0.000  0.03
4 Gd 0.500 0.500 0.500  -7.15

Entry 2:
VASP calculation (PBE) on Pm3ZnCo after structural relaxation.

DOS(E_F): 0.9490 states/eV per atom

Cell lengths 5.240, 5.240, 5.240 Å; angles 90.00, 90.00, 90.00 degrees
Atoms (fractional coordinates):
1 Pm 0.500 0.000 0.000
2 Pm 0.000 0.000 0.500
3 Pm 0.000 0.500 0.000
4 Zn 0.500 0.500 0.500
5 Co 0.000 0.000 0.000

For reference, E by record: -6.959, -4.479 eV per atom.
For reference, ΔE_f by record: 0.02, 0.05 eV per atom.